(1)
Here is a relaxed structure of SrNiSn from Alexandria via LeMat-Bulk. Energies are from PBE-GGA.

Values from the calculation:
calculated formation energy: -0.47 eV per atom

a = 6.640 Å, b = 6.687 Å, c = 7.191 Å
α = 90.00°, β = 107.81°, γ = 90.00°
Fractional coordinates of all 12 atoms:
Sr (0.293, 0.855, 0.087)
Sr (0.793, 0.645, 0.587)
Sr (0.707, 0.145, 0.913)
Sr (0.207, 0.355, 0.413)
Ni (0.548, 0.411, 0.167)
Ni (0.452, 0.589, 0.833)
Ni (0.048, 0.089, 0.667)
Ni (0.952, 0.911, 0.333)
Sn (0.187, 0.358, 0.920)
Sn (0.813, 0.642, 0.080)
Sn (0.313, 0.858, 0.580)
Sn (0.687, 0.142, 0.420)


(2)
Here is a relaxed structure of BaNdMg2Hg4 from Alexandria via LeMat-Bulk. Energies are from PBE-GGA.

Values from the calculation:
calculated formation energy: -0.41 eV per atom

a = 5.200 Å, b = 5.200 Å, c = 9.814 Å
α = 74.64°, β = 74.64°, γ = 60.00°
Fractional coordinates of all 8 atoms:
Ba (0.000, 0.000, 0.000)
Nd (0.500, 0.500, 0.500)
Mg (0.760, 0.760, 0.720)
Mg (0.240, 0.240, 0.280)
Hg (0.388, 0.388, 0.836)
Hg (0.874, 0.874, 0.377)
Hg (0.126, 0.126, 0.623)
Hg (0.612, 0.612, 0.164)


(3)
Here is a relaxed structure of CaBiRh2Au from Alexandria via LeMat-Bulk. Energies are from PBE-GGA.

Values from the calculation:
calculated formation energy: 0.64 eV per atom

a = 5.055 Å, b = 5.302 Å, c = 5.055 Å
α = 90.00°, β = 90.00°, γ = 90.00°
Last column: magnetic moment on the atom in μB.
Fractional coordinates of all 5 atoms:
Rh (0.000, 0.000, 0.500)  0.93
Rh (0.500, 0.000, 0.000)  0.55
Ca (0.500, 0.500, 0.500)  -0.01
Au (0.000, 0.000, 0.000)  0.09
Bi (0.000, 0.500, 0.000)  0.08


(4)
Here is a relaxed structure of NbSi2PtW from Alexandria via LeMat-Bulk. Energies are from PBE-GGA.

Values from the calculation:
raw total energy: -6.698 eV per atom

a = 4.460 Å, b = 5.153 Å, c = 4.460 Å
α = 90.00°, β = 90.00°, γ = 90.00°
Last column: magnetic moment on the atom in μB.
Fractional coordinates of all 5 atoms:
Nb (0.000, 0.500, 0.000)  -0.40
Si (0.000, 0.000, 0.500)  -0.01
Si (0.500, 0.000, 0.000)  0.00
W (0.500, 0.500, 0.500)  1.54
Pt (0.000, 0.000, 0.000)  -0.01


(5)
Here is a relaxed structure of LiSm3Hg from Alexandria via LeMat-Bulk. Energies are from PBE-GGA.

Values from the calculation:
calculated formation energy: -0.16 eV per atom

a = 5.232 Å, b = 5.252 Å, c = 10.610 Å
α = 90.00°, β = 75.73°, γ = 90.00°
Last column: magnetic moment on the atom in μB.
Fractional coordinates of all 10 atoms:
Li (0.477, 0.750, 0.694)  0.00
Li (0.171, 0.250, 0.306)  0.00
Sm (0.760, 0.250, 0.128)  0.00
Sm (0.382, 0.250, 0.884)  0.00
Sm (0.573, 0.250, 0.502)  0.09
Sm (0.266, 0.750, 0.116)  0.00
Sm (0.888, 0.750, 0.872)  0.00
Sm (0.075, 0.750, 0.498)  0.09
Hg (0.666, 0.750, 0.317)  0.01
Hg (0.983, 0.250, 0.683)  0.01


(6)
Here is a relaxed structure of ZrP2O8 from Alexandria via LeMat-Bulk. Energies are from PBE-GGA.

Values from the calculation:
raw total energy: -7.513 eV per atom

a = 6.385 Å, b = 5.520 Å, c = 5.520 Å
α = 120.00°, β = 90.00°, γ = 90.00°
Last column: magnetic moment on the atom in μB.
Fractional coordinates of all 11 atoms:
Zr (0.500, 0.000, 0.000)  -0.03
P (0.763, 0.667, 0.333)  -0.02
P (0.237, 0.333, 0.667)  -0.02
O (0.996, 0.333, 0.667)  0.48
O (0.004, 0.667, 0.333)  0.48
O (0.318, 0.181, 0.363)  0.13
O (0.682, 0.819, 0.637)  0.13
O (0.682, 0.363, 0.181)  0.13
O (0.318, 0.637, 0.819)  0.13
O (0.318, 0.181, 0.819)  0.13
O (0.682, 0.819, 0.181)  0.13


Number 1: density of states at the Fermi level 4.4 states/eV per cell. Number 2: density of states at the Fermi level 4.4 states/eV per cell. Number 3: density of states at the Fermi level 7.3 states/eV per cell. Number 4: density of states at the Fermi level 5.3 states/eV per cell. Number 5: density of states at the Fermi level 10.9 states/eV per cell. Number 6: density of states at the Fermi level 6.9 states/eV per cell.